(1)
# LiMgW2 | the Alexandria database | PBE-GGA | relaxed
# Density of states at the Fermi level (states/eV/f.u.): 2.94
# Calculated formation energy (eV/atom): 0.582
# V (Å³ per atom): 16.224
data_LiMgW2
_chemical_formula_sum 'Li2 Mg2 W4'
_symmetry_space_group_name_H-M 'I m m 2'
_symmetry_Int_Tables_number 44
_symmetry_space_group_name_Hall 'I 2 -2'
_cell_length_a 3.217
_cell_length_b 4.772
_cell_length_c 8.455
_cell_angle_alpha 90.00
_cell_angle_beta 90.00
_cell_angle_gamma 90.00
loop_
_atom_site_label
_atom_site_type_symbol
_atom_site_fract_x
_atom_site_fract_y
_atom_site_fract_z
Li1 Li 0.000 0.000 0.000
Mg1 Mg 0.000 0.500 0.734
W1 W 0.000 0.000 0.515
W2 W 0.000 0.500 0.245

---

(2)
# LiMg2W | the Alexandria database | PBE-GGA | relaxed
# Density of states at the Fermi level (states/eV/f.u.): 1.28
# Calculated formation energy (eV/atom): 0.364
# V (Å³ per atom): 17.748
data_LiMg2W
_chemical_formula_sum 'Li2 Mg4 W2'
_symmetry_space_group_name_H-M 'C 1 2/m 1'
_symmetry_Int_Tables_number 12
_symmetry_space_group_name_Hall '-C 2y'
_cell_length_a 6.063
_cell_length_b 8.621
_cell_length_c 2.716
_cell_angle_alpha 90.00
_cell_angle_beta 90.22
_cell_angle_gamma 90.00
loop_
_atom_site_label
_atom_site_type_symbol
_atom_site_fract_x
_atom_site_fract_y
_atom_site_fract_z
Li1 Li 0.000 0.000 0.000
Mg1 Mg 0.250 0.250 0.500
W1 W 0.000 0.500 0.000

---

(3)
# Li3MgW | the Alexandria database | PBE-GGA | relaxed
# Density of states at the Fermi level (states/eV/f.u.): 2.60
# Calculated formation energy (eV/atom): 1.364
# V (Å³ per atom): 24.585
data_Li3MgW
_chemical_formula_sum 'Li3 Mg1 W1'
_symmetry_space_group_name_H-M 'P m -3 m'
_symmetry_Int_Tables_number 221
_symmetry_space_group_name_Hall '-P 4 2 3'
_cell_length_a 4.972
_cell_length_b 4.972
_cell_length_c 4.972
_cell_angle_alpha 90.00
_cell_angle_beta 90.00
_cell_angle_gamma 90.00
loop_
_atom_site_label
_atom_site_type_symbol
_atom_site_fract_x
_atom_site_fract_y
_atom_site_fract_z
Li1 Li 0.000 0.000 0.500
Mg1 Mg 0.500 0.500 0.500
W1 W 0.000 0.000 0.000

---

(4)
# LiMg6W | the Alexandria database | PBE-GGA | relaxed
# Density of states at the Fermi level (states/eV/f.u.): 4.29
# Calculated formation energy (eV/atom): 0.228
# V (Å³ per atom): 19.940
data_LiMg6W
_chemical_formula_sum 'Li2 Mg12 W2'
_symmetry_space_group_name_H-M 'C m m m'
_symmetry_Int_Tables_number 65
_symmetry_space_group_name_Hall '-C 2 2'
_cell_length_a 8.531
_cell_length_b 8.543
_cell_length_c 4.378
_cell_angle_alpha 90.00
_cell_angle_beta 90.00
_cell_angle_gamma 90.00
loop_
_atom_site_label
_atom_site_type_symbol
_atom_site_fract_x
_atom_site_fract_y
_atom_site_fract_z
Li1 Li 0.000 0.000 0.000
Mg1 Mg 0.000 0.262 0.500
Mg2 Mg 0.238 0.500 0.500
Mg3 Mg 0.250 0.250 0.000
W1 W 0.000 0.500 0.000

---

(5)
# LiMg3W | the Alexandria database | PBE-GGA | relaxed
# Density of states at the Fermi level (states/eV/f.u.): 3.94
# Calculated formation energy (eV/atom): 1.108
# V (Å³ per atom): 30.457
data_LiMg3W
_chemical_formula_sum 'Li1 Mg3 W1'
_symmetry_space_group_name_H-M 'P m -3 m'
_symmetry_Int_Tables_number 221
_symmetry_space_group_name_Hall '-P 4 2 3'
_cell_length_a 5.340
_cell_length_b 5.340
_cell_length_c 5.340
_cell_angle_alpha 90.00
_cell_angle_beta 90.00
_cell_angle_gamma 90.00
loop_
_atom_site_label
_atom_site_type_symbol
_atom_site_fract_x
_atom_site_fract_y
_atom_site_fract_z
Li1 Li 0.000 0.000 0.000
Mg1 Mg 0.000 0.500 0.500
W1 W 0.500 0.500 0.500

---

(6)
# LiMg6W | the Alexandria database | PBE-GGA | relaxed
# Density of states at the Fermi level (states/eV/f.u.): 2.14
# Calculated formation energy (eV/atom): 0.227
# V (Å³ per atom): 19.903
data_LiMg6W
_chemical_formula_sum 'Li1 Mg6 W1'
_symmetry_space_group_name_H-M 'P -6 m 2'
_symmetry_Int_Tables_number 187
_symmetry_space_group_name_Hall 'P -6 2'
_cell_length_a 6.1263
_cell_length_b 6.1263
_cell_length_c 4.8991
_cell_angle_alpha 90.00
_cell_angle_beta 90.00
_cell_angle_gamma 120.00
loop_
_atom_site_label
_atom_site_type_symbol
_atom_site_fract_x
_atom_site_fract_y
_atom_site_fract_z
Li1 Li 0.0000 0.0000 0.0000
Mg1 Mg 0.0217 0.5108 0.0000
Mg2 Mg 0.3318 0.1659 0.5000
W1 W 0.3333 0.6667 0.5000

---

(7)
# LiMg2W | the Alexandria database | PBE-GGA | relaxed
# Density of states at the Fermi level (states/eV/f.u.): 2.97
# Calculated formation energy (eV/atom): 0.755
# V (Å³ per atom): 18.028
data_LiMg2W
_chemical_formula_sum 'Li4 Mg8 W4'
_symmetry_space_group_name_H-M 'F -4 3 m'
_symmetry_Int_Tables_number 216
_symmetry_space_group_name_Hall 'F -4 2 3'
_cell_length_a 6.607
_cell_length_b 6.607
_cell_length_c 6.607
_cell_angle_alpha 90.00
_cell_angle_beta 90.00
_cell_angle_gamma 90.00
loop_
_atom_site_label
_atom_site_type_symbol
_atom_site_fract_x
_atom_site_fract_y
_atom_site_fract_z
Li1 Li 0.000 0.000 0.000
Mg1 Mg 0.000 0.000 0.500
Mg2 Mg 0.250 0.250 0.750
W1 W 0.250 0.250 0.250

---

(8)
# LiMg2W | the Alexandria database | PBE-GGA | relaxed
# Density of states at the Fermi level (states/eV/f.u.): 3.89
# Calculated formation energy (eV/atom): 0.696
# V (Å³ per atom): 18.449
data_LiMg2W
_chemical_formula_sum 'Li4 Mg8 W4'
_symmetry_space_group_name_H-M 'F m -3 m'
_symmetry_Int_Tables_number 225
_symmetry_space_group_name_Hall '-F 4 2 3'
_cell_length_a 6.658
_cell_length_b 6.658
_cell_length_c 6.658
_cell_angle_alpha 90.00
_cell_angle_beta 90.00
_cell_angle_gamma 90.00
loop_
_atom_site_label
_atom_site_type_symbol
_atom_site_fract_x
_atom_site_fract_y
_atom_site_fract_z
Li1 Li 0.000 0.000 0.000
Mg1 Mg 0.250 0.250 0.250
W1 W 0.000 0.000 0.500

---

(9)
# Li2MgW | the Alexandria database | PBE-GGA | relaxed
# Density of states at the Fermi level (states/eV/f.u.): 3.09
# Calculated formation energy (eV/atom): 0.320
# V (Å³ per atom): 17.213
data_Li2MgW
_chemical_formula_sum 'Li6 Mg3 W3'
_symmetry_space_group_name_H-M 'R -3 m'
_symmetry_Int_Tables_number 166
_symmetry_space_group_name_Hall '-R 3 2"'
_cell_length_a 2.7990
_cell_length_b 2.7990
_cell_length_c 30.4439
_cell_angle_alpha 90.00
_cell_angle_beta 90.00
_cell_angle_gamma 120.00
loop_
_atom_site_label
_atom_site_type_symbol
_atom_site_fract_x
_atom_site_fract_y
_atom_site_fract_z
Li1 Li 0.0000 0.0000 0.2469
Mg1 Mg 0.0000 0.0000 0.0000
W1 W 0.0000 0.0000 0.5000

---

(10)
# LiMg2W | the Alexandria database | PBE-GGA | relaxed
# Density of states at the Fermi level (states/eV/f.u.): 4.22
# Calculated formation energy (eV/atom): 0.726
# V (Å³ per atom): 17.831
data_LiMg2W
_chemical_formula_sum 'Li2 Mg4 W2'
_symmetry_space_group_name_H-M 'I -4 m 2'
_symmetry_Int_Tables_number 119
_symmetry_space_group_name_Hall 'I -4 -2'
_cell_length_a 4.109
_cell_length_b 4.109
_cell_length_c 8.448
_cell_angle_alpha 90.00
_cell_angle_beta 90.00
_cell_angle_gamma 90.00
loop_
_atom_site_label
_atom_site_type_symbol
_atom_site_fract_x
_atom_site_fract_y
_atom_site_fract_z
Li1 Li 0.000 0.000 0.000
Mg1 Mg 0.000 0.000 0.500
Mg2 Mg 0.000 0.500 0.750
W1 W 0.000 0.500 0.250

---

(11)
# Li2MgW | the Alexandria database | PBE-GGA | relaxed
# Density of states at the Fermi level (states/eV/f.u.): 2.15
# Calculated formation energy (eV/atom): 0.323
# V (Å³ per atom): 16.936
data_Li2MgW
_chemical_formula_sum 'Li2 Mg1 W1'
_symmetry_space_group_name_H-M 'P 4 m m'
_symmetry_Int_Tables_number 99
_symmetry_space_group_name_Hall 'P 4 -2'
_cell_length_a 2.780
_cell_length_b 2.780
_cell_length_c 8.768
_cell_angle_alpha 90.00
_cell_angle_beta 90.00
_cell_angle_gamma 90.00
loop_
_atom_site_label
_atom_site_type_symbol
_atom_site_fract_x
_atom_site_fract_y
_atom_site_fract_z
Li1 Li 0.000 0.000 0.000
Li2 Li 0.500 0.500 0.247
Mg1 Mg 0.000 0.000 0.516
W1 W 0.500 0.500 0.764

---

(12)
# Li2MgW | the Alexandria database | PBE-GGA | relaxed
# Density of states at the Fermi level (states/eV/f.u.): 2.30
# Calculated formation energy (eV/atom): 0.455
# V (Å³ per atom): 17.058
data_Li2MgW
_chemical_formula_sum 'Li2 Mg1 W1'
_symmetry_space_group_name_H-M 'P 1 2/m 1'
_symmetry_Int_Tables_number 10
_symmetry_space_group_name_Hall '-P 2y'
_cell_length_a 2.574
_cell_length_b 4.946
_cell_length_c 5.364
_cell_angle_alpha 90.00
_cell_angle_beta 92.26
_cell_angle_gamma 90.00
loop_
_atom_site_label
_atom_site_type_symbol
_atom_site_fract_x
_atom_site_fract_y
_atom_site_fract_z
Li1 Li 0.153 0.000 0.218
Mg1 Mg 0.000 0.500 0.500
W1 W 0.500 0.500 0.000

---

V of number 10 (LiMg2W)?
17.831 Å³ per atom